(1)
Here is K3RbNa3 after structural relaxation from the Alexandria database. Energies are from GGA-PBE.

Values from the calculation:
The space group is Pm-3n. The value obtained for the energy above the lowest structure with this stoichiometry is 0.1894 eV per atom. As for the energy relative to the elements: 0.222 eV/atom. The value obtained for the magnetic moment is 0.0 μB per cell.

The structure in POSCAR format:
```
K3RbNa3
1.0
10.305 0.000 0.000
0.000 10.305 0.000
0.000 0.000 10.305
K Na Rb
6 6 2
direct
0.750 0.000 0.500
0.000 0.500 0.250
0.500 0.750 0.000
0.250 0.000 0.500
0.000 0.500 0.750
0.500 0.250 0.000
0.750 0.500 0.000
0.500 0.000 0.750
0.500 0.000 0.250
0.000 0.250 0.500
0.250 0.500 0.000
0.000 0.750 0.500
0.000 0.000 0.000
0.500 0.500 0.500
```



(2)
Here is LaTi2BeSb after structural relaxation from the Alexandria database. Energies are from GGA-PBE.

Values from the calculation:
The space group is P4/mmm. The value obtained for the final energy is -25.8 eV per formula unit. The value obtained for the magnetic moment is 0.0 μB per cell.

The structure in POSCAR format:
```
LaTi2BeSb
1.0
5.160 0.000 0.000
0.000 4.541 0.000
0.000 0.000 5.160
Ti La Be Sb
2 1 1 1
direct
0.500 0.000 0.000
0.000 0.000 0.500
0.500 0.500 0.500
0.000 0.500 0.000
0.000 0.000 0.000
```



(3)
Here is NaSc2I after structural relaxation from the Alexandria database. Energies are from GGA-PBE.

Values from the calculation:
The space group is R-3m. The value obtained for the energy above the lowest structure with this stoichiometry is 0.0000 eV per atom. The value obtained for the magnetic moment is 0.1 μB per cell.

The structure in POSCAR format:
```
NaSc2I
1.0
2.089 0.000 11.268
-1.044 1.809 11.268
-1.044 -1.809 11.268
Sc Na I
2 1 1
direct
0.082 0.082 0.082
0.918 0.918 0.918
0.500 0.500 0.500
0.000 0.000 0.000
```



(4)
Here is BaSrLiAu after structural relaxation from the Alexandria database. Energies are from GGA-PBE.

Values from the calculation:
The space group is Cm. The value obtained for the energy above the lowest structure with this stoichiometry is 0.0000 eV per atom. As for the energy relative to the elements: -0.417 eV/atom. The value obtained for the magnetic moment is 0.0 μB per cell.

The structure in POSCAR format:
```
BaSrLiAu
1.0
-2.147 3.451 2.177
-1.816 -1.780 -3.846
-2.120 -7.098 4.300
Li Sr Ba Au
1 1 1 1
direct
0.502 0.616 0.118
0.001 0.864 0.865
0.356 0.043 0.399
0.834 0.281 0.116
```



(5)
Here is PmTmIr after structural relaxation from the Alexandria database. Energies are from GGA-PBE.

Values from the calculation:
The space group is P3m1. The value obtained for the energy above the lowest structure with this stoichiometry is 0.1146 eV per atom. As for the energy relative to the elements: -0.528 eV/atom. The value obtained for the magnetic moment is 0.0 μB per cell.

The structure in POSCAR format:
```
PmTmIr
1.0
6.171 0.000 0.000
0.000 4.138 0.000
0.000 -2.069 3.584
Tm Pm Ir
1 1 1
direct
0.225 0.333 0.667
0.766 0.667 0.333
0.009 0.000 0.000
```



(6)
Here is Dy3Er2 after structural relaxation from the Alexandria database. Energies are from GGA-PBE.

Values from the calculation:
The space group is Fdd2. The value obtained for the energy above the lowest structure with this stoichiometry is 0.0000 eV per atom. As for the energy relative to the elements: 0.046 eV/atom. The value obtained for the magnetic moment is 0.0 μB per cell.

The structure in POSCAR format:
```
Dy3Er2
1.0
-0.957 -2.763 -8.427
6.460 0.285 6.144
-4.326 -4.006 3.040
Er Dy
4 6
direct
0.350 0.554 0.103
0.497 0.201 0.397
0.451 0.247 0.897
0.804 0.100 0.603
0.880 0.782 0.419
0.956 0.956 0.000
0.032 0.630 0.919
0.711 0.113 0.081
0.206 0.706 0.500
0.363 0.461 0.581
```



(7)
Here is K2Zr4Se7 after structural relaxation from the Alexandria database. Energies are from GGA-PBE.

Values from the calculation:
The space group is P-31m. The value obtained for the final energy is -75.5 eV per formula unit. The value obtained for the magnetic moment is 0.0 μB per cell.

The structure in POSCAR format:
```
K2Zr4Se7
1.0
6.784 0.000 0.000
-3.392 5.875 0.000
0.000 0.000 8.742
Zr Se K
4 7 2
direct
0.000 0.000 0.692
0.000 0.000 0.308
0.667 0.333 0.500
0.333 0.667 0.500
0.390 0.000 0.296
0.610 0.000 0.704
0.390 0.390 0.704
0.000 0.610 0.704
0.000 0.390 0.296
0.000 0.000 0.000
0.610 0.610 0.296
0.333 0.667 0.000
0.667 0.333 0.000
```